(1)
Compound: Pm3Al9Tc2
Source: the Alexandria database
Functional: PBE
Structure: optimized geometry

Output
ρ	5.34	g/cm³
M_tot	0.0	μB/f.u.
Fermi-level density of states	0.637	states/eV/atom
formation energy	-0.46	eV/atom

Unit cell a=8.317 b=8.317 c=8.317 alpha=149.32 beta=109.27 gamma=79.04
Fractional positions:
Pm (0.000, 0.000, 0.000)
Pm (0.301, 0.301, 0.000)
Pm (0.699, 0.699, 0.000)
Al (0.010, 0.652, 0.358)
Al (0.160, 0.878, 0.282)
Al (0.293, 0.652, 0.642)
Al (0.404, 0.122, 0.282)
Al (0.500, 0.000, 0.500)
Al (0.596, 0.878, 0.718)
Al (0.707, 0.348, 0.358)
Al (0.840, 0.122, 0.718)
Al (0.990, 0.348, 0.642)
Tc (0.322, 0.500, 0.822)
Tc (0.678, 0.500, 0.178)

(2)
Compound: GaHg2Au8
Source: the Alexandria database
Functional: PBE
Structure: optimized geometry

Output
ρ	15.49	g/cm³
M_tot	0.0	μB/f.u.
energy above the lowest structure with this stoichiometry	0.0	meV per atom
Fermi-level density of states	0.274	states/eV/atom
formation energy	0.02	eV/atom

Unit cell a=9.550 b=9.550 c=5.621 alpha=94.73 beta=94.73 gamma=25.43
Fractional positions:
Ga (0.000, 0.000, 0.000)
Hg (0.325, 0.325, 0.674)
Hg (0.675, 0.675, 0.326)
Au (0.076, 0.076, 0.421)
Au (0.135, 0.135, 0.907)
Au (0.270, 0.270, 0.187)
Au (0.465, 0.465, 0.250)
Au (0.535, 0.535, 0.750)
Au (0.730, 0.730, 0.813)
Au (0.865, 0.865, 0.093)
Au (0.924, 0.924, 0.579)

(3)
Compound: LaY2ScS6
Source: the Alexandria database
Functional: PBE
Structure: optimized geometry

Output
ρ	3.61	g/cm³
E_form (uncorrected)	-2017	meV/atom
M_tot	0.0	μB/f.u.
Fermi-level density of states	0.000	states/eV/atom

Unit cell a=7.322 b=7.322 c=7.322 alpha=56.43 beta=56.43 gamma=56.43
Fractional positions:
La (0.000, 0.000, 0.000)
Y (0.287, 0.287, 0.287)
Y (0.795, 0.795, 0.795)
Sc (0.487, 0.487, 0.487)
S (0.096, 0.667, 0.415)
S (0.212, 0.586, 0.872)
S (0.415, 0.096, 0.667)
S (0.586, 0.872, 0.212)
S (0.667, 0.415, 0.096)
S (0.872, 0.212, 0.586)

(4)
Compound: BaCd12In6
Source: the Alexandria database
Functional: PBE
Structure: optimized geometry

Output
ρ	6.95	g/cm³
M_tot	0.0	μB/f.u.
Fermi-level density of states	0.494	states/eV/atom
formation energy	0.00	eV/atom

Unit cell a=8.379 b=8.379 c=8.379 alpha=104.50 beta=104.50 gamma=104.50
Fractional positions:
Ba (0.000, 0.000, 0.000)
Cd (0.108, 0.500, 0.892)
Cd (0.108, 0.892, 0.500)
Cd (0.140, 0.380, 0.380)
Cd (0.380, 0.140, 0.380)
Cd (0.380, 0.380, 0.140)
Cd (0.500, 0.108, 0.892)
Cd (0.500, 0.892, 0.108)
Cd (0.620, 0.620, 0.860)
Cd (0.620, 0.860, 0.620)
Cd (0.860, 0.620, 0.620)
Cd (0.892, 0.108, 0.500)
Cd (0.892, 0.500, 0.108)
In (0.282, 0.709, 0.709)
In (0.291, 0.291, 0.718)
In (0.291, 0.718, 0.291)
In (0.709, 0.282, 0.709)
In (0.709, 0.709, 0.282)
In (0.718, 0.291, 0.291)

(5)
Compound: LiPrDyNi
Source: the Alexandria database
Functional: PBE
Structure: optimized geometry

Output
ρ	6.83	g/cm³
M_tot	0.0	μB/f.u.
Fermi-level density of states	0.778	states/eV/atom
formation energy	-0.08	eV/atom

Unit cell a=5.026 b=5.026 c=5.026 alpha=60.00 beta=60.00 gamma=60.00
Fractional positions:
Li (0.000, 0.000, 0.000)
Pr (0.750, 0.750, 0.750)
Dy (0.250, 0.250, 0.250)
Ni (0.500, 0.500, 0.500)

(6)
Compound: Pm5Nd3Sc2
Source: the Alexandria database
Functional: PBE
Structure: optimized geometry

Output
ρ	6.38	g/cm³
M_tot	0.0	μB/f.u.
Fermi-level density of states	1.451	states/eV/atom
formation energy	0.04	eV/atom

Unit cell a=9.467 b=9.468 c=9.477 alpha=106.60 beta=106.76 gamma=115.17
Fractional positions:
Pm (0.021, 0.074, 0.346)
Pm (0.132, 0.382, 0.750)
Pm (0.229, 0.676, 0.154)
Pm (0.275, 0.821, 0.848)
Pm (0.380, 0.130, 0.250)
Pm (0.620, 0.870, 0.750)
Pm (0.725, 0.179, 0.152)
Pm (0.771, 0.324, 0.846)
Pm (0.868, 0.618, 0.250)
Pm (0.979, 0.926, 0.654)
Nd (0.079, 0.230, 0.052)
Nd (0.322, 0.972, 0.552)
Nd (0.473, 0.427, 0.652)
Nd (0.527, 0.573, 0.348)
Nd (0.678, 0.028, 0.448)
Nd (0.921, 0.770, 0.948)
Sc (0.168, 0.523, 0.451)
Sc (0.427, 0.281, 0.951)
Sc (0.573, 0.719, 0.049)
Sc (0.832, 0.477, 0.549)

(7)
Compound: TbPm6Sm3Y2
Source: the Alexandria database
Functional: PBE
Structure: optimized geometry

Output
ρ	6.81	g/cm³
M_tot	0.0	μB/f.u.
Fermi-level density of states	1.335	states/eV/atom
formation energy	0.01	eV/atom

Unit cell a=6.287 b=6.287 c=11.984 alpha=95.00 beta=95.00 gamma=119.99
Fractional positions:
Tb (0.000, 0.000, 0.000)
Pm (0.083, 0.416, 0.248)
Pm (0.250, 0.250, 0.752)
Pm (0.416, 0.083, 0.248)
Pm (0.584, 0.917, 0.752)
Pm (0.750, 0.750, 0.248)
Pm (0.917, 0.584, 0.752)
Sm (0.167, 0.833, 0.500)
Sm (0.500, 0.500, 0.500)
Sm (0.833, 0.167, 0.500)
Y (0.333, 0.667, 0.000)
Y (0.667, 0.333, 0.000)

(8)
Compound: Ni8As
Source: the Alexandria database
Functional: PBE
Structure: optimized geometry

Output
ρ	9.01	g/cm³
M_tot	2.8	μB/f.u.
Fermi-level density of states	1.431	states/eV/atom
formation energy	-0.06	eV/atom

Unit cell a=5.596 b=5.596 c=5.596 alpha=95.83 beta=95.83 gamma=142.84
Fractional positions:
Ni (0.000, 0.335, 0.335)
Ni (0.000, 0.665, 0.665)
Ni (0.333, 0.333, 0.665)
Ni (0.333, 0.667, 0.000)
Ni (0.335, 0.000, 0.335)
Ni (0.665, 0.000, 0.665)
Ni (0.667, 0.333, 0.000)
Ni (0.667, 0.667, 0.335)
As (0.000, 0.000, 0.000)

(9)
Compound: TePb2
Source: the Alexandria database
Functional: PBE
Structure: optimized geometry

Output
ρ	8.70	g/cm³
E_form (uncorrected)	-10	meV/atom
M_tot	0.0	μB/f.u.
energy above the lowest structure with this stoichiometry	128.0	meV per atom
Fermi-level density of states	0.684	states/eV/atom

Unit cell a=12.246 b=12.246 c=12.246 alpha=160.39 beta=160.39 gamma=27.88
Fractional positions:
Te (0.375, 0.625, 0.750)
Te (0.625, 0.375, 0.250)
Pb (0.057, 0.807, 0.250)
Pb (0.193, 0.943, 0.250)
Pb (0.807, 0.057, 0.750)
Pb (0.943, 0.193, 0.750)

(10)
Compound: ErTm4Sb5
Source: the Alexandria database
Functional: PBE
Structure: optimized geometry

Output
ρ	8.35	g/cm³
E_form (uncorrected)	-1074	meV/atom
M_tot	0.0	μB/f.u.
Fermi-level density of states	0.189	states/eV/atom

Unit cell a=11.478 b=11.478 c=11.478 alpha=158.21 beta=149.00 gamma=38.21
Fractional positions:
Er (0.000, 0.000, 0.000)
Tm (0.200, 0.200, 0.000)
Tm (0.400, 0.400, 0.000)
Tm (0.600, 0.600, 0.000)
Tm (0.800, 0.800, 0.000)
Sb (0.100, 0.600, 0.500)
Sb (0.300, 0.800, 0.500)
Sb (0.500, 0.000, 0.500)
Sb (0.700, 0.200, 0.500)
Sb (0.900, 0.400, 0.500)

(11)
Compound: Th3CoGe
Source: the Alexandria database
Functional: PBE
Structure: optimized geometry

Output
ρ	10.47	g/cm³
M_tot	0.0	μB/f.u.
energy above the lowest structure with this stoichiometry	29.3	meV per atom
Fermi-level density of states	0.992	states/eV/atom
formation energy	-0.40	eV/atom

Unit cell a=11.879 b=4.086 c=10.819 alpha=90.00 beta=90.00 gamma=90.00
Fractional positions:
Th (0.043, 0.250, 0.163)
Th (0.121, 0.750, 0.538)
Th (0.215, 0.250, 0.791)
Th (0.285, 0.750, 0.291)
Th (0.379, 0.250, 0.038)
Th (0.457, 0.750, 0.663)
Th (0.543, 0.250, 0.337)
Th (0.621, 0.750, 0.962)
Th (0.715, 0.250, 0.709)
Th (0.785, 0.750, 0.209)
Th (0.879, 0.250, 0.462)
Th (0.957, 0.750, 0.837)
Co (0.008, 0.250, 0.669)
Co (0.492, 0.750, 0.169)
Co (0.508, 0.250, 0.831)
Co (0.992, 0.750, 0.331)
Ge (0.175, 0.750, 0.006)
Ge (0.325, 0.250, 0.506)
Ge (0.675, 0.750, 0.494)
Ge (0.825, 0.250, 0.994)

(12)
Compound: PuPb3Br2O6
Source: the Alexandria database
Functional: PBE
Structure: optimized geometry

Output
ρ	7.16	g/cm³
E_form (uncorrected)	-1317	meV/atom
M_tot	0.1	μB/f.u.
Fermi-level density of states	0.176	states/eV/atom

Unit cell a=7.299 b=7.299 c=5.935 alpha=97.25 beta=97.25 gamma=56.17
Fractional positions:
Pu (0.000, 0.000, 0.000)
Pb (0.000, 0.500, 0.000)
Pb (0.500, 0.000, 0.000)
Pb (0.500, 0.500, 0.500)
Br (0.286, 0.286, 0.607)
Br (0.714, 0.714, 0.393)
O (0.145, 0.145, 0.169)
O (0.158, 0.733, 0.185)
O (0.267, 0.842, 0.815)
O (0.733, 0.158, 0.185)
O (0.842, 0.267, 0.815)
O (0.855, 0.855, 0.831)

(13)
Compound: Ca3Bi2H3
Source: the Alexandria database
Functional: PBE
Structure: optimized geometry

Output
ρ	5.10	g/cm³
total energy	-26.59	eV/f.u.
M_tot	0.0	μB/f.u.
Fermi-level density of states	0.302	states/eV/atom

Unit cell a=7.902 b=7.902 c=3.256 alpha=90.00 beta=90.00 gamma=120.00
Fractional positions:
Ca (0.000, 0.257, 0.000)
Ca (0.257, 0.000, 0.000)
Ca (0.743, 0.743, 0.000)
Bi (0.333, 0.667, 0.500)
Bi (0.667, 0.333, 0.500)
H (0.000, 0.819, 0.500)
H (0.181, 0.181, 0.500)
H (0.819, 0.000, 0.500)

(14)
Compound: SmZn4Ag12
Source: the Alexandria database
Functional: PBE
Structure: optimized geometry

Output
ρ	7.93	g/cm³
M_tot	0.0	μB/f.u.
Fermi-level density of states	0.276	states/eV/atom
formation energy	0.24	eV/atom

Unit cell a=7.743 b=7.743 c=7.743 alpha=109.47 beta=109.47 gamma=109.47
Fractional positions:
Sm (0.000, 0.000, 0.000)
Zn (0.000, 0.000, 0.500)
Zn (0.000, 0.500, 0.000)
Zn (0.500, 0.000, 0.000)
Zn (0.500, 0.500, 0.500)
Ag (0.156, 0.501, 0.345)
Ag (0.156, 0.811, 0.655)
Ag (0.189, 0.345, 0.844)
Ag (0.345, 0.156, 0.501)
Ag (0.345, 0.844, 0.189)
Ag (0.499, 0.655, 0.844)
Ag (0.501, 0.345, 0.156)
Ag (0.655, 0.156, 0.811)
Ag (0.655, 0.844, 0.499)
Ag (0.811, 0.655, 0.156)
Ag (0.844, 0.189, 0.345)
Ag (0.844, 0.499, 0.655)

(15)
Compound: Sc2PRu
Source: the Alexandria database
Functional: PBE
Structure: optimized geometry

Output
ρ	5.86	g/cm³
M_tot	0.0	μB/f.u.
Fermi-level density of states	0.981	states/eV/atom
formation energy	-0.46	eV/atom

Unit cell a=4.465 b=4.465 c=4.465 alpha=60.00 beta=60.00 gamma=60.00
Fractional positions:
Sc (0.000, 0.000, 0.000)
Sc (0.250, 0.250, 0.250)
P (0.500, 0.500, 0.500)
Ru (0.750, 0.750, 0.750)

(16)
Compound: SmHg5Au
Source: the Alexandria database
Functional: PBE
Structure: optimized geometry

Output
ρ	12.76	g/cm³
M_tot	0.0	μB/f.u.
Fermi-level density of states	0.555	states/eV/atom
formation energy	-0.25	eV/atom

Unit cell a=4.952 b=4.952 c=7.167 alpha=90.00 beta=90.00 gamma=90.00
Fractional positions:
Sm (0.000, 0.000, 0.000)
Hg (0.000, 0.500, 0.285)
Hg (0.000, 0.500, 0.715)
Hg (0.500, 0.000, 0.285)
Hg (0.500, 0.000, 0.715)
Hg (0.500, 0.500, 0.000)
Au (0.000, 0.000, 0.500)

(17)
Compound: YHo5In3
Source: the Alexandria database
Functional: PBE
Structure: optimized geometry

Output
ρ	8.29	g/cm³
M_tot	0.0	μB/f.u.
Fermi-level density of states	1.119	states/eV/atom
formation energy	-0.36	eV/atom

Unit cell a=9.305 b=9.305 c=6.718 alpha=90.00 beta=90.00 gamma=120.00
Fractional positions:
Y (0.000, 0.000, 0.000)
Y (0.000, 0.000, 0.500)
Ho (0.000, 0.335, 0.250)
Ho (0.000, 0.665, 0.750)
Ho (0.333, 0.667, 0.000)
Ho (0.333, 0.667, 0.500)
Ho (0.335, 0.000, 0.250)
Ho (0.335, 0.335, 0.750)
Ho (0.665, 0.000, 0.750)
Ho (0.665, 0.665, 0.250)
Ho (0.667, 0.333, 0.000)
Ho (0.667, 0.333, 0.500)
In (0.000, 0.332, 0.750)
In (0.000, 0.668, 0.250)
In (0.332, 0.000, 0.750)
In (0.332, 0.332, 0.250)
In (0.668, 0.000, 0.250)
In (0.668, 0.668, 0.750)

(18)
Compound: KCaRh
Source: the Alexandria database
Functional: PBE
Structure: optimized geometry

Output
ρ	3.23	g/cm³
M_tot	0.0	μB/f.u.
Fermi-level density of states	0.714	states/eV/atom
formation energy	0.12	eV/atom

Unit cell a=7.756 b=7.756 c=7.756 alpha=153.36 beta=153.36 gamma=38.03
Fractional positions:
K (0.000, 0.000, 0.000)
Ca (0.756, 0.756, 0.000)
Rh (0.346, 0.346, 0.000)

(19)
Compound: PtAuBr2
Source: the Alexandria database
Functional: PBE
Structure: optimized geometry

Output
ρ	11.03	g/cm³
E_form (uncorrected)	689	meV/atom
M_tot	0.0	μB/f.u.
energy above the lowest structure with this stoichiometry	663.2	meV per atom
Fermi-level density of states	0.746	states/eV/atom

Unit cell a=4.870 b=4.870 c=3.504 alpha=90.00 beta=90.00 gamma=90.23
Fractional positions:
Pt (0.000, 0.000, 0.000)
Au (0.500, 0.500, 0.000)
Br (0.000, 0.500, 0.500)
Br (0.500, 0.000, 0.500)

(20)
Compound: PRhCl2
Source: the Alexandria database
Functional: PBE
Structure: optimized geometry

Output
ρ	3.58	g/cm³
E_form (uncorrected)	29	meV/atom
M_tot	0.0	μB/f.u.
energy above the lowest structure with this stoichiometry	766.1	meV per atom
Fermi-level density of states	0.605	states/eV/atom

Unit cell a=3.729 b=3.729 c=8.675 alpha=90.00 beta=90.00 gamma=127.98
Fractional positions:
P (0.000, 0.000, 0.000)
Rh (0.500, 0.500, 0.835)
Cl (0.000, 0.000, 0.622)
Cl (0.500, 0.500, 0.228)

(21)
Compound: TbPm2HoTe5
Source: the Alexandria database
Functional: PBE
Structure: optimized geometry

Output
ρ	5.82	g/cm³
E_form (uncorrected)	-752	meV/atom
M_tot	0.6	μB/f.u.
Fermi-level density of states	0.515	states/eV/atom

Unit cell a=5.562 b=5.562 c=11.554 alpha=90.00 beta=90.00 gamma=90.00
Fractional positions:
Tb (0.000, 0.000, 0.000)
Pm (0.500, 0.500, 0.159)
Pm (0.500, 0.500, 0.841)
Ho (0.000, 0.000, 0.500)
Te (0.000, 0.000, 0.256)
Te (0.000, 0.000, 0.744)
Te (0.000, 0.500, 0.000)
Te (0.500, 0.000, 0.000)
Te (0.500, 0.500, 0.500)

(22)
Compound: CaFeIr2
Source: the Alexandria database
Functional: PBE
Structure: optimized geometry

Output
ρ	11.85	g/cm³
M_tot	3.5	μB/f.u.
energy above the lowest structure with this stoichiometry	93.6	meV per atom
Fermi-level density of states	0.843	states/eV/atom
formation energy	0.09	eV/atom

Unit cell a=5.465 b=5.465 c=4.980 alpha=115.17 beta=115.17 gamma=30.28
Fractional positions:
Ca (0.000, 0.000, 0.000)
Fe (0.210, 0.210, 0.787)
Ir (0.487, 0.487, 0.472)
Ir (0.764, 0.764, 0.412)